Here is an optimized crystal structure of Li2Lu5B3O13 from Alexandria. Energies are from GGA-PBE.

The structure in POSCAR format:
```
Li2Lu5B3O13
1.0
10.091 0.000 0.000
0.000 3.497 0.000
-4.183 0.000 15.134
Li Lu B O
4 10 6 26
Direct
0.113 0.250 0.053
0.251 0.750 0.247
0.749 0.250 0.753
0.887 0.750 0.947
0.021 0.250 0.304
0.139 0.250 0.563
0.312 0.250 0.794
0.356 0.750 0.999
0.463 0.750 0.631
0.537 0.250 0.369
0.644 0.250 0.001
0.688 0.750 0.206
0.861 0.750 0.437
0.979 0.750 0.696
0.090 0.750 0.888
0.289 0.750 0.424
0.408 0.250 0.182
0.592 0.750 0.818
0.711 0.250 0.576
0.910 0.250 0.112
0.015 0.750 0.567
0.041 0.250 0.165
0.109 0.250 0.704
0.122 0.750 0.980
0.177 0.750 0.349
0.206 0.750 0.852
0.268 0.750 0.508
0.333 0.250 0.094
0.347 0.250 0.251
0.349 0.250 0.656
0.420 0.250 0.937
0.421 0.750 0.414
0.448 0.750 0.793
0.552 0.250 0.207
0.579 0.250 0.586
0.580 0.750 0.063
0.651 0.750 0.344
0.653 0.750 0.749
0.667 0.750 0.906
0.732 0.250 0.492
0.794 0.250 0.148
0.823 0.250 0.651
0.878 0.250 0.020
0.891 0.750 0.296
0.959 0.750 0.835
0.985 0.250 0.433
```

**Total magnetic moment**: 0.0 μB per formula unit
**DFT total energy**: -7.95 eV per atom
**Space group**: No. 11